1.
The following is a DFT calculation (PBE-GGA) of KPdCO5 after structural relaxation.

Structure (POSCAR):
```
KPdCO5
1.0
3.758 -4.765 0.000
3.758 4.765 0.000
-2.091 0.000 6.541
K Pd C O
2 2 2 10
Direct
0.136 0.864 0.750 K
0.864 0.136 0.250 K
0.500 0.500 0.000 Pd
0.500 0.500 0.500 Pd
0.241 0.759 0.250 C
0.759 0.241 0.750 C
0.035 0.739 0.116 O
0.219 0.579 0.351 O
0.261 0.965 0.384 O
0.413 0.587 0.750 O
0.421 0.781 0.149 O
0.579 0.219 0.851 O
0.587 0.413 0.250 O
0.739 0.035 0.616 O
0.781 0.421 0.649 O
0.965 0.261 0.884 O
```

Properties
N(E_F) in states/eV/cell: 7.132
Crystal system: monoclinic
E_form (uncorrected) in kcal/mol of atoms: -17.053
Energy in eV for the cell shown: -92.4



2.
The following is a DFT calculation (PBE-GGA) of K3PmC4O12 after structural relaxation.

Structure (POSCAR):
```
K3PmC4O12
1.0
5.255 3.034 3.352
-5.255 3.034 3.352
0.000 -6.068 3.352
K Pm C O
3 1 4 12
Direct
0.000 0.481 0.519 K
0.481 0.519 0.000 K
0.519 0.000 0.481 K
0.000 0.000 0.000 Pm
0.008 0.992 0.500 C
0.500 0.008 0.992 C
0.500 0.500 0.500 C
0.992 0.500 0.008 C
0.024 0.650 0.916 O
0.084 0.350 0.976 O
0.129 0.871 0.500 O
0.350 0.976 0.084 O
0.379 0.621 0.500 O
0.500 0.129 0.871 O
0.500 0.379 0.621 O
0.621 0.500 0.379 O
0.650 0.916 0.024 O
0.871 0.500 0.129 O
0.916 0.024 0.650 O
0.976 0.084 0.350 O
```

Properties
N(E_F) in states/eV/cell: 9.780
Crystal system: trigonal
E_form (uncorrected) in kcal/mol of atoms: -39.547
Energy in eV for the cell shown: -138.7



3.
The following is a DFT calculation (PBE-GGA) of KPmC2O6 after structural relaxation.

Structure (POSCAR):
```
KPmC2O6
1.0
4.308 -4.939 0.000
4.308 4.939 0.000
-2.553 0.000 6.712
K Pm C O
2 2 4 12
Direct
0.123 0.877 0.750 K
0.877 0.123 0.250 K
0.405 0.595 0.250 Pm
0.595 0.405 0.750 Pm
0.144 0.391 0.744 C
0.391 0.144 0.244 C
0.609 0.856 0.756 C
0.856 0.609 0.256 C
0.053 0.595 0.278 O
0.205 0.251 0.620 O
0.251 0.205 0.120 O
0.296 0.527 0.892 O
0.405 0.947 0.222 O
0.473 0.704 0.608 O
0.527 0.296 0.392 O
0.595 0.053 0.778 O
0.704 0.473 0.108 O
0.749 0.795 0.880 O
0.795 0.749 0.380 O
0.947 0.405 0.722 O
```

Properties
N(E_F) in states/eV/cell: 0.000
Crystal system: monoclinic
E_form (uncorrected) in kcal/mol of atoms: -49.404
Energy in eV for the cell shown: -150.9



4.
The following is a DFT calculation (PBE-GGA) of KPrC2O6 after structural relaxation.

Structure (POSCAR):
```
KPrC2O6
1.0
4.355 -4.999 0.000
4.355 4.999 0.000
-2.628 0.000 6.754
K Pr C O
2 2 4 12
Direct
0.125 0.875 0.750 K
0.875 0.125 0.250 K
0.402 0.598 0.250 Pr
0.598 0.402 0.750 Pr
0.144 0.388 0.739 C
0.388 0.144 0.239 C
0.612 0.856 0.761 C
0.856 0.612 0.261 C
0.051 0.598 0.285 O
0.204 0.247 0.618 O
0.247 0.204 0.118 O
0.294 0.524 0.888 O
0.402 0.949 0.215 O
0.476 0.706 0.612 O
0.524 0.294 0.388 O
0.598 0.051 0.785 O
0.706 0.476 0.112 O
0.753 0.796 0.882 O
0.796 0.753 0.382 O
0.949 0.402 0.715 O
```

Properties
N(E_F) in states/eV/cell: 0.000
Crystal system: monoclinic
E_form (uncorrected) in kcal/mol of atoms: -49.090
Energy in eV for the cell shown: -150.7



5.
The following is a DFT calculation (PBE-GGA) of KPtCO5 after structural relaxation.

Structure (POSCAR):
```
KPtCO5
1.0
3.350 -4.408 0.000
3.350 4.408 0.000
-3.344 0.000 6.290
K Pt C O
2 2 2 10
Direct
0.105 0.895 0.750 K
0.895 0.105 0.250 K
0.000 0.500 0.000 Pt
0.500 0.000 0.500 Pt
0.457 0.543 0.750 C
0.543 0.457 0.250 C
0.168 0.832 0.250 O
0.263 0.338 0.148 O
0.338 0.263 0.648 O
0.349 0.633 0.909 O
0.367 0.651 0.591 O
0.633 0.349 0.409 O
0.651 0.367 0.091 O
0.662 0.737 0.352 O
0.737 0.662 0.852 O
0.832 0.168 0.750 O
```

Properties
N(E_F) in states/eV/cell: 6.164
Crystal system: monoclinic
E_form (uncorrected) in kcal/mol of atoms: -17.129
Energy in eV for the cell shown: -94.2



6.
The following is a DFT calculation (PBE-GGA) of KPtC2O8 after structural relaxation.

Structure (POSCAR):
```
KPtC2O8
1.0
3.833 -2.487 0.000
3.833 2.487 0.000
-0.759 0.000 7.949
K Pt C O
1 1 2 8
Direct
0.000 0.000 0.000 K
0.000 0.000 0.500 Pt
0.370 0.370 0.682 C
0.630 0.630 0.318 C
0.253 0.711 0.684 O
0.260 0.260 0.529 O
0.289 0.747 0.316 O
0.301 0.301 0.826 O
0.699 0.699 0.174 O
0.711 0.253 0.684 O
0.740 0.740 0.471 O
0.747 0.289 0.316 O
```

Properties
N(E_F) in states/eV/cell: 5.353
Crystal system: monoclinic
E_form (uncorrected) in kcal/mol of atoms: -17.284
Energy in eV for the cell shown: -74.2



7.
The following is a DFT calculation (PBE-GGA) of K3PuC2O8 after structural relaxation.

Structure (POSCAR):
```
K3PuC2O8
1.0
5.337 0.000 0.000
-2.669 4.622 0.000
0.000 0.000 7.939
K Pu C O
3 1 2 8
Direct
0.000 0.000 0.000 K
0.333 0.667 0.779 K
0.667 0.333 0.221 K
0.000 0.000 0.500 Pu
0.333 0.667 0.275 C
0.667 0.333 0.725 C
0.188 0.376 0.339 O
0.188 0.812 0.339 O
0.333 0.667 0.108 O
0.376 0.188 0.661 O
0.624 0.812 0.339 O
0.667 0.333 0.892 O
0.812 0.188 0.661 O
0.812 0.624 0.661 O
```

Properties
N(E_F) in states/eV/cell: 5.514
Crystal system: trigonal
E_form (uncorrected) in kcal/mol of atoms: -40.611
Energy in eV for the cell shown: -100.4



8.
The following is a DFT calculation (PBE-GGA) of K2RbC2O6 after structural relaxation.

Structure (POSCAR):
```
K2RbC2O6
1.0
5.034 -2.754 0.000
5.034 2.754 0.000
-3.599 0.000 7.263
K Rb C O
2 1 2 6
Direct
0.190 0.190 0.116 K
0.810 0.810 0.884 K
0.000 0.000 0.500 Rb
0.451 0.451 0.783 C
0.549 0.549 0.217 C
0.275 0.681 0.196 O
0.312 0.312 0.740 O
0.319 0.725 0.804 O
0.681 0.275 0.196 O
0.688 0.688 0.260 O
0.725 0.319 0.804 O
```

Properties
N(E_F) in states/eV/cell: 5.861
Crystal system: monoclinic
E_form (uncorrected) in kcal/mol of atoms: -37.543
Energy in eV for the cell shown: -69.3



9.
The following is a DFT calculation (PBE-GGA) of KRb2C2O6 after structural relaxation.

Structure (POSCAR):
```
KRb2C2O6
1.0
5.247 -2.891 0.000
5.247 2.891 0.000
-3.803 0.000 6.519
K Rb C O
1 2 2 6
Direct
0.000 0.000 0.000 K
0.200 0.200 0.676 Rb
0.800 0.800 0.324 Rb
0.449 0.449 0.248 C
0.551 0.551 0.752 C
0.286 0.673 0.715 O
0.308 0.308 0.172 O
0.327 0.714 0.285 O
0.673 0.286 0.715 O
0.692 0.692 0.828 O
0.714 0.327 0.285 O
```

Properties
N(E_F) in states/eV/cell: 6.370
Crystal system: monoclinic
E_form (uncorrected) in kcal/mol of atoms: -37.587
Energy in eV for the cell shown: -69.2



10.
The following is a DFT calculation (PBE-GGA) of K2RhC2O6 after structural relaxation.

Structure (POSCAR):
```
K2RhC2O6
1.0
5.879 -2.522 0.000
5.879 2.522 0.000
-3.013 0.000 5.618
K Rh C O
2 1 2 6
Direct
0.196 0.196 0.208 K
0.804 0.804 0.792 K
0.000 0.000 0.500 Rh
0.499 0.499 0.268 C
0.501 0.501 0.732 C
0.211 0.652 0.236 O
0.348 0.789 0.764 O
0.384 0.384 0.683 O
0.616 0.616 0.317 O
0.652 0.211 0.236 O
0.789 0.348 0.764 O
```

Properties
N(E_F) in states/eV/cell: 5.777
Crystal system: monoclinic
E_form (uncorrected) in kcal/mol of atoms: -31.606
Energy in eV for the cell shown: -72.8



11.
The following is a DFT calculation (PBE-GGA) of KRhCO5 after structural relaxation.

Structure (POSCAR):
```
KRhCO5
1.0
3.341 -4.400 0.000
3.341 4.400 0.000
-3.315 0.000 6.265
K Rh C O
2 2 2 10
Direct
0.153 0.847 0.750 K
0.847 0.153 0.250 K
0.500 0.500 0.000 Rh
0.500 0.500 0.500 Rh
0.205 0.795 0.250 C
0.795 0.205 0.750 C
0.064 0.270 0.903 O
0.192 0.620 0.355 O
0.270 0.064 0.403 O
0.380 0.808 0.145 O
0.430 0.570 0.750 O
0.570 0.430 0.250 O
0.620 0.192 0.855 O
0.730 0.936 0.597 O
0.808 0.380 0.645 O
0.936 0.730 0.097 O
```

Properties
N(E_F) in states/eV/cell: 7.749
Crystal system: monoclinic
E_form (uncorrected) in kcal/mol of atoms: -19.505
Energy in eV for the cell shown: -98.5



12.
The following is a DFT calculation (PBE-GGA) of KRuCO5 after structural relaxation.

Structure (POSCAR):
```
KRuCO5
1.0
3.306 -4.314 0.000
3.306 4.314 0.000
-3.274 0.000 6.326
K Ru C O
2 2 2 10
Direct
0.162 0.838 0.750 K
0.838 0.162 0.250 K
0.500 0.500 0.000 Ru
0.500 0.500 0.500 Ru
0.197 0.803 0.250 C
0.803 0.197 0.750 C
0.077 0.267 0.899 O
0.192 0.630 0.362 O
0.267 0.077 0.399 O
0.370 0.808 0.138 O
0.448 0.552 0.750 O
0.552 0.448 0.250 O
0.630 0.192 0.862 O
0.733 0.923 0.601 O
0.808 0.370 0.638 O
0.923 0.733 0.101 O
```

Properties
N(E_F) in states/eV/cell: 5.412
Crystal system: monoclinic
E_form (uncorrected) in kcal/mol of atoms: -22.876
Energy in eV for the cell shown: -104.6



13.
The following is a DFT calculation (PBE-GGA) of KSbC2O6 after structural relaxation.

Structure (POSCAR):
```
KSbC2O6
1.0
4.495 -5.155 0.000
4.495 5.155 0.000
-3.260 0.000 6.725
K Sb C O
2 2 4 12
Direct
0.136 0.864 0.750 K
0.864 0.136 0.250 K
0.431 0.569 0.250 Sb
0.569 0.431 0.750 Sb
0.165 0.389 0.715 C
0.389 0.165 0.215 C
0.611 0.835 0.785 C
0.835 0.611 0.285 C
0.019 0.599 0.309 O
0.227 0.256 0.589 O
0.256 0.227 0.089 O
0.331 0.522 0.873 O
0.401 0.981 0.191 O
0.478 0.669 0.627 O
0.522 0.331 0.373 O
0.599 0.019 0.809 O
0.669 0.478 0.127 O
0.744 0.773 0.911 O
0.773 0.744 0.411 O
0.981 0.401 0.691 O
```

Properties
N(E_F) in states/eV/cell: 0.000
Crystal system: monoclinic
E_form (uncorrected) in kcal/mol of atoms: -33.557
Energy in eV for the cell shown: -135.9



14.
The following is a DFT calculation (PBE-GGA) of K2ScC2O6 after structural relaxation.

Structure (POSCAR):
```
K2ScC2O6
1.0
5.409 0.000 0.000
-2.704 4.684 0.000
0.000 0.000 6.217
K Sc C O
2 1 2 6
Direct
0.333 0.667 0.324 K
0.667 0.333 0.676 K
0.000 0.000 0.000 Sc
0.333 0.667 0.818 C
0.667 0.333 0.182 C
0.193 0.386 0.809 O
0.193 0.807 0.809 O
0.386 0.193 0.191 O
0.614 0.807 0.809 O
0.807 0.193 0.191 O
0.807 0.614 0.191 O
```

Properties
N(E_F) in states/eV/cell: 2.684
Crystal system: trigonal
E_form (uncorrected) in kcal/mol of atoms: -42.672
Energy in eV for the cell shown: -77.1



15.
The following is a DFT calculation (PBE-GGA) of KScC2O6 after structural relaxation.

Structure (POSCAR):
```
KScC2O6
1.0
4.179 -4.579 0.000
4.179 4.579 0.000
-2.382 0.000 6.407
K Sc C O
2 2 4 12
Direct
0.110 0.890 0.750 K
0.890 0.110 0.250 K
0.410 0.590 0.250 Sc
0.590 0.410 0.750 Sc
0.148 0.404 0.761 C
0.404 0.148 0.261 C
0.596 0.852 0.739 C
0.852 0.596 0.239 C
0.061 0.599 0.255 O
0.225 0.268 0.628 O
0.268 0.225 0.128 O
0.304 0.550 0.910 O
0.401 0.939 0.245 O
0.450 0.696 0.590 O
0.550 0.304 0.410 O
0.599 0.061 0.755 O
0.696 0.450 0.090 O
0.732 0.775 0.872 O
0.775 0.732 0.372 O
0.939 0.401 0.745 O
```

Properties
N(E_F) in states/eV/cell: 0.000
Crystal system: monoclinic
E_form (uncorrected) in kcal/mol of atoms: -47.374
Energy in eV for the cell shown: -152.3



16.
The following is a DFT calculation (PBE-GGA) of KSmC2O6 after structural relaxation.

Structure (POSCAR):
```
KSmC2O6
1.0
4.303 -4.912 0.000
4.303 4.912 0.000
-2.542 0.000 6.691
K Sm C O
2 2 4 12
Direct
0.122 0.878 0.750 K
0.878 0.122 0.250 K
0.405 0.595 0.250 Sm
0.595 0.405 0.750 Sm
0.144 0.392 0.745 C
0.392 0.144 0.245 C
0.608 0.856 0.755 C
0.856 0.608 0.255 C
0.054 0.594 0.276 O
0.205 0.252 0.620 O
0.252 0.205 0.120 O
0.297 0.529 0.893 O
0.406 0.946 0.224 O
0.471 0.703 0.607 O
0.529 0.297 0.393 O
0.594 0.054 0.776 O
0.703 0.471 0.107 O
0.748 0.795 0.880 O
0.795 0.748 0.380 O
0.946 0.406 0.724 O
```

Properties
N(E_F) in states/eV/cell: 0.000
Crystal system: monoclinic
E_form (uncorrected) in kcal/mol of atoms: -49.442
Energy in eV for the cell shown: -150.9



17.
The following is a DFT calculation (PBE-GGA) of KSnCO5 after structural relaxation.

Structure (POSCAR):
```
KSnCO5
1.0
3.522 -4.632 0.000
3.522 4.632 0.000
-3.345 0.000 6.297
K Sn C O
2 2 2 10
Direct
0.151 0.849 0.750 K
0.849 0.151 0.250 K
0.500 0.500 0.000 Sn
0.500 0.500 0.500 Sn
0.213 0.787 0.250 C
0.787 0.213 0.750 C
0.039 0.260 0.890 O
0.206 0.619 0.356 O
0.260 0.039 0.390 O
0.381 0.794 0.144 O
0.414 0.586 0.750 O
0.586 0.414 0.250 O
0.619 0.206 0.856 O
0.740 0.961 0.610 O
0.794 0.381 0.644 O
0.961 0.740 0.110 O
```

Properties
Crystal system: monoclinic
E_form (uncorrected) in kcal/mol of atoms: -26.693
Energy in eV for the cell shown: -96.8



18.
The following is a DFT calculation (PBE-GGA) of KSr2CO after structural relaxation.

Structure (POSCAR):
```
KSr2CO
1.0
4.933 0.000 0.000
0.000 4.933 0.000
0.000 0.000 4.982
K Sr C O
1 2 1 1
Direct
0.000 0.000 0.000 K
0.000 0.500 0.500 Sr
0.500 0.000 0.500 Sr
0.500 0.500 0.000 C
0.000 0.000 0.500 O
```

Properties
N(E_F) in states/eV/cell: 1.712
Crystal system: tetragonal
E_form (uncorrected) in kcal/mol of atoms: -4.172
Energy in eV for the cell shown: -19.5